The following is a DFT calculation (GGA-PBEsol) of a geometry-optimized SrZnSi3 structure.

Cell: 4.773 4.773 4.773 Å, 90.00 90.00 90.00°
Positions (direct):
Si: 0.000 0.000 0.500
Si: 0.500 0.000 0.000
Si: 0.000 0.500 0.000
Zn: 0.000 0.000 0.000
Sr: 0.500 0.500 0.500

Spin magnetization = 0.00 μB/cell
DOS(E_F) = 2.2 states/eV/cell
Raw formation energy = 369 meV/atom



The following is a DFT calculation (GGA-PBEsol) of a geometry-optimized SrCa2Mg structure.

Cell: 5.321 5.321 6.524 Å, 114.07 114.07 90.00°
Positions (direct):
Mg: 0.500 0.500 0.000
Sr: 0.000 0.000 0.000
Ca: 0.750 0.250 0.500
Ca: 0.250 0.750 0.500

Spin magnetization = 0.00 μB/cell
DOS(E_F) = 4.5 states/eV/cell
Calculated formation energy = 0.03 eV/atom



The following is a DFT calculation (GGA-PBEsol) of a geometry-optimized Mg2CoMo structure.

Cell: 2.748 4.531 5.281 Å, 97.09 90.00 107.66°
Positions (direct):
Mg: 0.987 0.974 0.995
Mg: 0.752 0.504 0.263
Co: 0.253 0.505 0.703
Mo: 0.508 0.017 0.540

Spin magnetization = 0.00 μB/cell
Energy above the lowest structure with this stoichiometry = 62 meV per atom
DOS(E_F) = 2.9 states/eV/cell
Calculated formation energy = 0.37 eV/atom